Here is an optimized crystal structure of Li3Ac3CoO8 from the Alexandria database. Energies are from PBE with a Hubbard U.

CIF file:
```
data_Li3Ac3CoO8
_chemical_formula_sum 'Li3 Ac3 Co1 O8'
_space_group_name_H-M_alt 'P 1'
_space_group_IT_number 1
_cell_length_a 7.2526
_cell_length_b 7.2516
_cell_length_c 6.4102
_cell_angle_alpha 124.46
_cell_angle_beta 90.00
_cell_angle_gamma 120.00
loop_
_space_group_symop_operation_xyz
'x,y,z'
loop_
_atom_site_label
_atom_site_fract_x
_atom_site_fract_y
_atom_site_fract_z
Ac1 0.0000 0.5000 0.5000
Ac2 0.5000 0.5000 0.5000
Ac3 0.5000 0.0000 0.5000
Co1 0.0000 0.0000 0.5000
O1 0.2516 0.5031 0.2549
O2 0.7834 0.5669 0.2671
O3 0.7484 0.4969 0.7451
O4 0.7998 0.0165 0.7330
O5 0.7833 0.9835 0.2670
O6 0.2002 0.9835 0.2670
O7 0.2166 0.4331 0.7329
O8 0.2167 0.0165 0.7330
Li1 0.0000 0.0000 0.0000
Li2 0.0000 0.5000 0.0000
Li3 0.5000 0.5000 0.0000
```

## Properties
Final energy   -6.28 eV/atom
Volume   221 Å³/cell
M_tot   5.1 μB/cell